This record from Alexandria describes a relaxed structure of NdTlH8Ir2. The functional is GGA-PBE.

Output
Total energy ... -4.4328 eV/atom
Fermi-level density of states ... 0.4 states/eV/cell
Magnetization ... 0.000 μB/atom

Unit cell a=9.210 b=4.867 c=5.861 alpha=90.00 beta=110.19 gamma=90.00
Space group C2/m (No. 12)
Inequivalent atoms, fractional coordinates:
Nd1 0.000 0.000 0.000 [2 per cell]
Tl1 0.000 0.500 0.500 [2 per cell]
H1 0.083 0.500 0.099 [4 per cell]
H2 0.084 0.000 0.446 [4 per cell]
H3 0.201 0.222 0.819 [8 per cell]
Ir1 0.243 0.500 0.342 [4 per cell]

***

This record from Alexandria describes a relaxed structure of NiH2Ir. The functional is GGA-PBE.

Output
Total energy ... -4.7577 eV/atom
Fermi-level density of states ... 13.5 states/eV/cell
Magnetization ... 0.000 μB/atom

Unit cell a=5.050 b=5.050 c=5.050 alpha=90.00 beta=90.00 gamma=90.00
Space group Fm-3m (No. 225)
Inequivalent atoms, fractional coordinates:
Ni1 0.000 0.000 0.000 [4 per cell]
H1 0.250 0.250 0.250 [8 per cell]
Ir1 0.000 0.000 0.500 [4 per cell]

***

This record from Alexandria describes a relaxed structure of NiH2Ir. The functional is GGA-PBE.

Output
Total energy ... -5.1513 eV/atom
Fermi-level density of states ... 3.7 states/eV/cell
Magnetization ... 0.000 μB/atom

Unit cell a=4.056 b=4.056 c=7.948 alpha=90.00 beta=90.00 gamma=90.00
Space group I-42d (No. 122)
Inequivalent atoms, fractional coordinates:
Ni1 0.000 0.000 0.000 [4 per cell]
H1 0.224 0.250 0.125 [8 per cell]
Ir1 0.000 0.000 0.500 [4 per cell]

***

This record from Alexandria describes a relaxed structure of Ni3HIr. The functional is GGA-PBE.

Output
Total energy ... -4.1854 eV/atom
Fermi-level density of states ... 6.0 states/eV/cell
Magnetization ... 0.754 μB/atom

Unit cell a=4.582 b=4.582 c=4.582 alpha=90.00 beta=90.00 gamma=90.00
Space group Pm-3m (No. 221)
Inequivalent atoms, fractional coordinates:
Ni1 0.000 0.000 0.500 [3 per cell]
H1 0.500 0.500 0.500 [1 per cell]
Ir1 0.000 0.000 0.000 [1 per cell]

***

This record from Alexandria describes a relaxed structure of Ni3HIr. The functional is GGA-PBE.

Output
Total energy ... -5.8405 eV/atom
Fermi-level density of states ... 6.9 states/eV/cell
Magnetization ... 0.000 μB/atom

Unit cell a=3.665 b=3.665 c=3.665 alpha=90.00 beta=90.00 gamma=90.00
Space group Pm-3m (No. 221)
Inequivalent atoms, fractional coordinates:
Ni1 0.000 0.000 0.500 [3 per cell]
H1 0.000 0.000 0.000 [1 per cell]
Ir1 0.500 0.500 0.500 [1 per cell]

***

This record from Alexandria describes a relaxed structure of Ni2H6Ir. The functional is GGA-PBE.

Output
Total energy ... -4.3949 eV/atom
Fermi-level density of states ... 3.4 states/eV/cell
Magnetization ... 0.000 μB/atom

Unit cell a=2.777 b=4.122 c=5.877 alpha=99.62 beta=90.09 gamma=109.68
Space group P-1 (No. 2)
Inequivalent atoms, fractional coordinates:
Ni1 0.249 0.499 0.313 [2 per cell]
H1 0.148 0.295 0.029 [2 per cell]
H2 0.164 0.329 0.558 [2 per cell]
H3 0.455 0.916 0.279 [2 per cell]
Ir1 0.500 0.000 0.000 [1 per cell]

***

This record from Alexandria describes a relaxed structure of NiH2Ir. The functional is GGA-PBE.

Output
Total energy ... -5.1057 eV/atom
Fermi-level density of states ... 10.2 states/eV/cell
Magnetization ... 0.000 μB/atom

Unit cell a=2.7058 b=2.7058 c=15.1386 alpha=90.00 beta=90.00 gamma=120.00
Space group R3m (No. 160, hexagonal axes)
Inequivalent atoms, fractional coordinates:
Ni1 0.0000 0.0000 0.0000 [3 per cell]
H1 0.0000 0.0000 0.4113 [3 per cell]
H2 0.0000 0.0000 0.6193 [3 per cell]
Ir1 0.0000 0.0000 0.8232 [3 per cell]

***

This record from Alexandria describes a relaxed structure of NiH2Ir. The functional is GGA-PBE.

Output
Total energy ... -5.0098 eV/atom
Fermi-level density of states ... 9.8 states/eV/cell
Magnetization ... 0.136 μB/atom

Unit cell a=2.8700 b=2.8700 c=14.5485 alpha=90.00 beta=90.00 gamma=120.00
Space group R-3m (No. 166, hexagonal axes)
Inequivalent atoms, fractional coordinates:
Ni1 0.0000 0.0000 0.0000 [3 per cell]
H1 0.0000 0.0000 0.1107 [6 per cell]
Ir1 0.0000 0.0000 0.5000 [3 per cell]

***

This record from Alexandria describes a relaxed structure of NpNi2H8Ir. The functional is GGA-PBE.

Output
Total energy ... -5.0540 eV/atom
Fermi-level density of states ... 41.5 states/eV/cell
Magnetization ... 0.289 μB/atom

Unit cell a=4.4350 b=4.4350 c=16.7633 alpha=90.00 beta=90.00 gamma=120.00
Space group R-3 (No. 148, hexagonal axes)
Inequivalent atoms, fractional coordinates:
Np1 0.0000 0.0000 0.0000 [3 per cell]
Ni1 0.0000 0.0000 0.2299 [6 per cell]
H1 0.0000 0.0000 0.3224 [6 per cell]
H2 0.0108 0.3746 0.7776 [18 per cell]
Ir1 0.0000 0.0000 0.5000 [3 per cell]

***

This record from Alexandria describes a relaxed structure of NiHIrOs2. The functional is GGA-PBE.

Output
Total energy ... -7.7636 eV/atom
Fermi-level density of states ... 6.4 states/eV/cell
Magnetization ... 0.250 μB/atom

Unit cell a=3.860 b=3.860 c=3.849 alpha=90.00 beta=90.00 gamma=90.00
Space group P4/mmm (No. 123)
Inequivalent atoms, fractional coordinates:
Ni1 0.000 0.000 0.000 [1 per cell]
H1 0.000 0.000 0.500 [1 per cell]
Ir1 0.500 0.500 0.000 [1 per cell]
Os1 0.000 0.500 0.500 [2 per cell]

***

This record from Alexandria describes a relaxed structure of PaNiH6Ir. The functional is GGA-PBE.

Output
Total energy ... -5.1539 eV/atom
Fermi-level density of states ... 3.9 states/eV/cell
Magnetization ... 0.064 μB/atom

Unit cell a=4.5245 b=4.5245 c=4.1675 alpha=90.00 beta=90.00 gamma=120.00
Space group P-6m2 (No. 187)
Inequivalent atoms, fractional coordinates:
Pa1 0.0000 0.0000 0.0000 [1 per cell]
Ni1 0.3333 0.6667 0.5000 [1 per cell]
H1 0.0113 0.5056 0.2270 [6 per cell]
Ir1 0.6667 0.3333 0.5000 [1 per cell]

***

This record from Alexandria describes a relaxed structure of PaNiH8Ir2. The functional is GGA-PBE.

Output
Total energy ... -5.0534 eV/atom
Fermi-level density of states ... 4.2 states/eV/cell
Magnetization ... 0.000 μB/atom

Unit cell a=4.8384 b=4.8384 c=5.7468 alpha=90.00 beta=90.00 gamma=120.00
Space group P-3m1 (No. 164)
Inequivalent atoms, fractional coordinates:
Pa1 0.0000 0.0000 0.0000 [1 per cell]
Ni1 0.0000 0.0000 0.5000 [1 per cell]
H1 0.1694 0.3388 0.3345 [6 per cell]
H2 0.3333 0.6667 0.8471 [2 per cell]
Ir1 0.3333 0.6667 0.1312 [2 per cell]